CsNaNpCl6, relaxed, DFT PBE; total magnetic moment = 0.33 μB per atom; ΔE_f (raw) = -1579 kJ/mol of formula units; V = 38.196 A^3/atom
1.0
7.2423 0.0000 0.0000
-3.6212 6.2721 0.0000
0.0000 0.0000 15.1358
Np Cl Na Cs
2 12 2 2
Cartesian
0.0000 4.1814 11.3519
3.6212 2.0907 3.7840
2.1363 4.0084 9.8388
4.8391 3.8543 5.2970
1.2180 2.4178 12.8649
-1.2180 2.4178 9.8388
5.7575 2.2637 2.2709
2.7029 0.1541 2.2709
-0.9183 6.1180 9.8388
-2.1363 4.0084 12.8649
2.4032 3.8543 2.2709
0.9183 6.1180 12.8649
4.5395 0.1541 5.2970
1.4849 2.2637 5.2970
0.0000 4.1814 3.7840
3.6212 2.0907 11.3519
0.0000 0.0000 0.0000
0.0000 0.0000 7.5679

CsNa2NpCl6, relaxed, DFT PBE; total magnetic moment = 0.40 μB per atom; ΔE_f (raw) = -1748 kJ/mol of formula units; V = 31.843 A^3/atom
1.0
-3.0750 2.6108 -6.1740
-7.3296 0.6770 -0.4696
-3.0422 7.3821 0.2350
Na Cs Cl Np
2 1 6 1
Cartesian
-6.7491 4.9589 -3.3511
-3.0495 7.2943 0.2003
-10.1376 7.2158 -5.1126
-8.2993 2.9713 -1.9788
-8.5952 6.8753 -2.1098
-5.2273 6.3048 -1.2297
-4.3819 3.3706 -3.6856
-7.8406 4.4909 -5.9642
-6.0224 7.5979 -4.4130
-3.4563 1.2695 -2.1467